# 1
# Ce2Pu2Pt15

Ce2Pu2Pt15 after structural relaxation (PBE, Alexandria via LeMat-Bulk).

Computed properties:
VASP energy: -142.55 eV per cell
ρ: 17.42 Mg/m³
density of states at the Fermi level: 2.284 states/eV per atom

Cell: 7.118 7.118 7.118 Å, 82.50 82.50 82.50°
Positions (direct):
Ce (0.103, 0.103, 0.103)
Ce (0.897, 0.897, 0.897)
Pu (0.358, 0.358, 0.358)
Pu (0.642, 0.642, 0.642)
Pt (0.000, 0.000, 0.500)
Pt (0.000, 0.320, 0.680)
Pt (0.000, 0.500, 0.000)
Pt (0.000, 0.680, 0.320)
Pt (0.166, 0.655, 0.655)
Pt (0.320, 0.000, 0.680)
Pt (0.320, 0.680, 0.000)
Pt (0.345, 0.345, 0.834)
Pt (0.345, 0.834, 0.345)
Pt (0.500, 0.000, 0.000)
Pt (0.655, 0.166, 0.655)
Pt (0.655, 0.655, 0.166)
Pt (0.680, 0.000, 0.320)
Pt (0.680, 0.320, 0.000)
Pt (0.834, 0.345, 0.345)

# 2
# RbBeBr2

RbBeBr2 after structural relaxation (PBE, Alexandria via LeMat-Bulk).

Computed properties:
energy above the lowest structure with this stoichiometry: 483.2 meV/atom
ρ: 3.59 Mg/m³
density of states at the Fermi level: 0.304 states/eV per atom
uncorrected formation energy: -0.9 eV per formula unit

Cell: 5.500 5.500 5.500 Å, 60.00 60.00 60.00°
Positions (direct):
Rb (0.000, 0.000, 0.000)
Be (0.500, 0.500, 0.500)
Br (0.250, 0.250, 0.250)
Br (0.750, 0.750, 0.750)

# 3
# GdHoAlIr

GdHoAlIr after structural relaxation (PBE, Alexandria via LeMat-Bulk).

Computed properties:
VASP energy: -33.45 eV per cell
ρ: 10.27 Mg/m³
density of states at the Fermi level: 0.832 states/eV per atom

Cell: 4.983 4.983 4.983 Å, 60.00 60.00 60.00°
Positions (direct):
Gd (0.000, 0.000, 0.000)
Ho (0.500, 0.500, 0.500)
Al (0.250, 0.250, 0.250)
Ir (0.750, 0.750, 0.750)

# 4
# Ag6BiAu8

Ag6BiAu8 after structural relaxation (PBE, Alexandria via LeMat-Bulk).

Computed properties:
VASP energy: -46.42 eV per cell
ρ: 13.43 Mg/m³
density of states at the Fermi level: 0.327 states/eV per atom

Cell: 7.050 7.050 7.050 Å, 70.32 70.32 70.32°
Positions (direct):
Ag (0.081, 0.659, 0.849)
Ag (0.151, 0.919, 0.341)
Ag (0.341, 0.151, 0.919)
Ag (0.659, 0.849, 0.081)
Ag (0.849, 0.081, 0.659)
Ag (0.919, 0.341, 0.151)
Bi (0.500, 0.500, 0.500)
Au (0.050, 0.354, 0.688)
Au (0.286, 0.286, 0.286)
Au (0.312, 0.950, 0.646)
Au (0.354, 0.688, 0.050)
Au (0.646, 0.312, 0.950)
Au (0.688, 0.050, 0.354)
Au (0.714, 0.714, 0.714)
Au (0.950, 0.646, 0.312)